Version P
Computed, not measured: a relaxed ErTh2Sc2 crystal at the GGA-PBE level of DFT.

Output
N(E_F) = 77.08 states/eV/cell
Theoretical density = 7.35 Mg/m³

abc: 5.744 10.790 21.025
angles: 90.00 90.00 90.00
Space group Fddd (No. 70, origin choice 2)
Unique sites:
Er (0.125, 0.125, 0.125) [8 per cell]
Th (0.125, 0.284, 0.625) [16 per cell]
Sc (0.000, 0.000, 0.000) [16 per cell]



Version Q
Computed, not measured: a relaxed ErTh2Sc2 crystal at the GGA-PBE level of DFT.

Output
N(E_F) = 28.55 states/eV/cell
Theoretical density = 8.32 Mg/m³

abc: 14.068 6.864 6.031
angles: 90.00 98.71 90.00
Space group P2_1/c (No. 14)
Unique sites:
Er (0.200, 0.121, 0.147) [4 per cell]
Th (0.002, 0.625, 0.754) [4 per cell]
Th (0.402, 0.126, 0.556) [4 per cell]
Sc (0.200, 0.626, 0.153) [4 per cell]
Sc (0.401, 0.629, 0.543) [4 per cell]



If we sort the structures by their calculated energies, the order from most to least stable is version Q, version P.



Version P
Computed, not measured: a relaxed ErTh4Sc crystal at the GGA-PBE level of DFT.

Output
N(E_F) = 7.38 states/eV/cell
Theoretical density = 10.08 Mg/m³

abc: 5.6281 5.6281 6.8481
angles: 90.00 90.00 120.00
Space group P6/mmm (No. 191)
Unique sites:
Er (0.0000, 0.0000, 0.0000) [1 per cell]
Th (0.3333, 0.6667, 0.2558) [4 per cell]
Sc (0.0000, 0.0000, 0.5000) [1 per cell]



Version Q
Computed, not measured: a relaxed ErTh4Sc crystal at the GGA-PBE level of DFT.

Output
N(E_F) = 10.10 states/eV/cell
Theoretical density = 10.32 Mg/m³

abc: 3.534 4.916 10.565
angles: 90.00 90.00 90.00
Space group Pmmm (No. 47)
Unique sites:
Er (0.000, 0.000, 0.000) [1 per cell]
Th (0.000, 0.000, 0.340) [2 per cell]
Th (0.500, 0.500, 0.171) [2 per cell]
Sc (0.500, 0.500, 0.500) [1 per cell]



If we sort the structures by their calculated energies, the order from most to least stable is version Q, version P.